# 1
Nd2Ga4AgPd3 | PBE | relaxed

Cell and atoms, written as CIF:
```
data_Nd2Ga4AgPd3
_space_group_name_H-M_alt 'P -4 m 2'
_space_group_IT_number 115
_cell_length_a 4.2838
_cell_length_b 4.2838
_cell_length_c 10.7838
_cell_angle_alpha 90.00
_cell_angle_beta 90.00
_cell_angle_gamma 90.00
loop_
_space_group_symop_operation_xyz
'x,y,z'
'y,-x,-z'
'-x,-y,z'
'-y,x,-z'
'-x,y,z'
'-y,-x,-z'
'x,-y,z'
'y,x,-z'
loop_
_atom_site_label
_atom_site_fract_x
_atom_site_fract_y
_atom_site_fract_z
Nd1 0.0000 0.5000 0.2389
Ga1 0.0000 0.0000 0.0000
Ga2 0.0000 0.5000 0.6380
Ga3 0.5000 0.5000 0.0000
Ag1 0.0000 0.0000 0.5000
Pd1 0.0000 0.5000 0.8694
Pd2 0.5000 0.5000 0.5000
```

Output
Electronic total energy = -4.704 eV per atom
Formation energy = -0.70 eV/atom

***

# 2
NdGa5AgPd2 | PBE | relaxed

Cell and atoms, written as CIF:
```
data_NdGa5AgPd2
_space_group_name_H-M_alt 'P 4/m m m'
_space_group_IT_number 123
_space_group_name_Hall '-P 4 2'
_cell_length_a 4.3888
_cell_length_b 4.3888
_cell_length_c 10.1379
_cell_angle_alpha 90.00
_cell_angle_beta 90.00
_cell_angle_gamma 90.00
loop_
_atom_site_label
_atom_site_fract_x
_atom_site_fract_y
_atom_site_fract_z
Nd1 0.0000 0.0000 0.0000
Ga1 0.0000 0.5000 0.3467
Ga2 0.5000 0.5000 0.0000
Ag1 0.0000 0.0000 0.5000
Pd1 0.5000 0.5000 0.2304
```

Output
Electronic total energy = -3.938 eV per atom
Formation energy = -0.26 eV/atom